Density functional theory data (PBE-GGA) for a geometry-optimized RbTiMnGa2 structure.

```
RbTiMnGa2
1.0
5.051 0.000 0.000
0.000 5.051 0.000
0.000 0.000 5.423
Rb Ti Mn Ga
1 1 1 2
Direct
0.000 0.000 0.000 Rb
0.000 0.000 0.500 Ti
0.500 0.500 0.000 Mn
0.000 0.500 0.500 Ga
0.500 0.000 0.500 Ga
```

Summary:
For the formation enthalpy at 0 K, the calculation gives 1.09 eV per atom.


Density functional theory data (PBE-GGA) for a geometry-optimized RbTiMnGa2 structure.

```
RbTiMnGa2
1.0
4.941 0.000 0.000
0.000 4.941 0.000
0.000 0.000 4.492
Rb Ti Mn Ga
1 1 1 2
Direct
0.000 0.000 0.000 Rb
0.500 0.500 0.000 Ti
0.500 0.500 0.500 Mn
0.000 0.500 0.500 Ga
0.500 0.000 0.500 Ga
```

Summary:
For the formation enthalpy at 0 K, the calculation gives 0.23 eV per atom.


Density functional theory data (PBE-GGA) for a geometry-optimized RbZrMnGa2 structure.

```
RbZrMnGa2
1.0
5.520 0.000 0.000
0.000 5.520 0.000
0.000 0.000 4.802
Rb Zr Mn Ga
1 1 1 2
Direct
0.000 0.000 0.000 Rb
0.500 0.500 0.500 Zr
0.500 0.500 0.000 Mn
0.000 0.500 0.500 Ga
0.500 0.000 0.500 Ga
```

Summary:
For the formation enthalpy at 0 K, the calculation gives 0.77 eV per atom.